1.
HfTa8Nb2: relaxed, PBE.

a = 3.333 Å, b = 7.502 Å, c = 8.632 Å
α = 75.27°, β = 78.87°, γ = 89.99°
Positions (direct):
Ta  0.181  0.908  0.606
Ta  0.642  0.186  0.685
Ta  0.454  0.285  0.061
Ta  0.545  0.715  0.878
Ta  0.818  0.092  0.333
Ta  0.357  0.815  0.255
Ta  0.091  0.452  0.787
Ta  0.908  0.548  0.153
Nb  0.273  0.364  0.422
Nb  0.726  0.636  0.517
Hf  0.000  0.000  0.970

Summary:
- M_tot (μB per formula unit) = 0.000
- calculated density (g/cm³) = 14.710
- V (Å³/atom) = 18.59
- energy of formation from the pure elements (meV/atom) = 26


2.
Th2Al3Zn: relaxed, PBE.

a = 6.046 Å, b = 6.046 Å, c = 8.792 Å
α = 111.33°, β = 111.33°, γ = 86.67°
Positions (direct):
Al  0.168  0.168  0.831
Al  0.337  0.337  0.169
Al  0.663  0.663  0.831
Al  0.168  0.168  0.337
Al  0.832  0.832  0.663
Al  0.832  0.832  0.169
Th  0.752  0.248  0.000
Th  0.750  0.250  0.500
Th  0.250  0.750  0.500
Th  0.248  0.752  0.000
Zn  0.666  0.666  0.333
Zn  0.334  0.334  0.667

Summary:
- M_tot (μB per formula unit) = 0.000
- calculated density (g/cm³) = 7.296
- V (Å³/atom) = 23.15
- energy of formation from the pure elements (meV/atom) = -413


3.
Cu2RuSe: relaxed, PBE.

a = 4.685 Å, b = 4.685 Å, c = 4.685 Å
α = 132.16°, β = 132.16°, γ = 69.97°
Positions (direct):
Ru  0.500  0.500  0.000
Se  0.750  0.250  0.500
Cu  0.250  0.750  0.500
Cu  0.000  0.000  0.000

Summary:
- M_tot (μB per formula unit) = 0.000
- calculated density (g/cm³) = 9.205
- V (Å³/atom) = 13.85
- E_form (uncorrected) (eV per atom) = 0.29